# 1
Crystalline Ce5TlGa4 at its relaxed geometry. Source: the Alexandria database, functional GGA-PBE.

abc: 3.921 3.921 16.042
angles: 90.00 90.00 90.00
Space group P4/mmm (No. 123)
One atom of each set of equivalent atoms:
Ce: 0.000 0.000 0.000 [1 per cell]
Ce: 0.000 0.000 0.197 [2 per cell]
Ce: 0.000 0.000 0.377 [2 per cell]
Tl: 0.500 0.500 0.500 [1 per cell]
Ga: 0.500 0.500 0.100 [2 per cell]
Ga: 0.500 0.500 0.286 [2 per cell]

Output
**ΔH_f (0 K)**: -0.402 eV/atom
**Calculated total energy**: -48.2 eV/cell
**Size of the total moment**: 4.35 μB/f.u.

---

# 2
Crystalline CuSiB at its relaxed geometry. Source: the Alexandria database, functional GGA-PBE.

abc: 3.506 4.033 5.328
angles: 78.98 85.61 88.21
Space group P-1 (No. 2)
One atom of each set of equivalent atoms:
Cu: 0.196 0.166 0.296 [2 per cell]
Si: 0.455 0.290 0.847 [2 per cell]
B: 0.012 0.650 0.360 [2 per cell]

Output
**Calculated total energy**: -31.5 eV/cell
**Size of the total moment**: 0.00 μB/f.u.

---

Look up the calculated total energy of the first one. -48.2 eV/cell